Material: Re2BiAu
Method: DFT, GGA-PBE
State: optimized geometry

a b c (Å): 4.649 4.649 4.649
angles (deg): 60.00 60.00 60.00
Sites, in units of the cell vectors:
Re 0.250 0.250 0.250
Re 0.750 0.750 0.750
Bi 0.000 0.000 0.000
Au 0.500 0.500 0.500

Values from the calculation:
Magnetization in μB/f.u.: 0.00
Energy above the lowest structure with this stoichiometry in meV per atom: 184.9
Calculated density in g/cm³: 18.2
Formation energy from the elements in meV per atom: 1071

***

Material: Tm6In3Co
Method: DFT, GGA-PBE
State: optimized geometry

a b c (Å): 9.061 5.196 11.214
angles (deg): 90.00 108.04 90.00
Sites, in units of the cell vectors:
Tm 0.044 0.250 0.419
Tm 0.198 0.750 0.165
Tm 0.286 0.250 0.005
Tm 0.350 0.750 0.832
Tm 0.372 0.250 0.341
Tm 0.397 0.250 0.652
Tm 0.603 0.750 0.348
Tm 0.628 0.750 0.659
Tm 0.650 0.250 0.168
Tm 0.714 0.750 0.995
Tm 0.802 0.250 0.835
Tm 0.956 0.750 0.581
In 0.010 0.750 0.880
In 0.094 0.250 0.721
In 0.277 0.750 0.477
In 0.723 0.250 0.523
In 0.906 0.750 0.279
In 0.990 0.250 0.120
Co 0.463 0.750 0.093
Co 0.537 0.250 0.907

Values from the calculation:
Magnetization in μB/f.u.: 0.59
Energy above the lowest structure with this stoichiometry in meV per atom: 0.0
Calculated density in g/cm³: 9.4
Formation energy from the elements in meV per atom: -298

***

Material: Ce2Pr3Ir3
Method: DFT, GGA-PBE
State: optimized geometry

a b c (Å): 6.525 6.525 14.332
angles (deg): 90.00 90.00 137.82
Sites, in units of the cell vectors:
Ce 0.238 0.762 0.594
Ce 0.238 0.762 0.906
Ce 0.762 0.238 0.094
Ce 0.762 0.238 0.406
Pr 0.055 0.945 0.117
Pr 0.055 0.945 0.383
Pr 0.377 0.623 0.250
Pr 0.623 0.377 0.750
Pr 0.945 0.055 0.617
Pr 0.945 0.055 0.883
Ir 0.368 0.632 0.750
Ir 0.391 0.609 0.039
Ir 0.391 0.609 0.461
Ir 0.609 0.391 0.539
Ir 0.609 0.391 0.961
Ir 0.632 0.368 0.250

Values from the calculation:
Magnetization in μB/f.u.: 0.00
Calculated density in g/cm³: 10.4
Formation energy from the elements in meV per atom: -563

***

Material: LiCa2Pt
Method: DFT, GGA-PBE
State: optimized geometry

a b c (Å): 8.778 8.778 8.778
angles (deg): 155.99 155.73 34.40
Sites, in units of the cell vectors:
Li 0.000 0.000 0.000
Ca 0.340 0.340 0.000
Ca 0.660 0.660 0.000
Pt 0.500 0.500 0.000

Values from the calculation:
Magnetization in μB/f.u.: 0.00
Calculated density in g/cm³: 4.1
Formation energy from the elements in meV per atom: -224

***

Material: AcBi2Te
Method: DFT, GGA-PBE
State: optimized geometry

a b c (Å): 4.717 4.717 6.043
angles (deg): 90.00 90.00 90.00
Sites, in units of the cell vectors:
Ac 0.000 0.000 0.000
Bi 0.000 0.500 0.500
Bi 0.500 0.000 0.500
Te 0.500 0.500 0.000

Values from the calculation:
Magnetization in μB/f.u.: 0.00
Energy above the lowest structure with this stoichiometry in meV per atom: 103.7
Calculated density in g/cm³: 9.5
Formation energy (no corrections) in meV/atom: -662

***

Material: Be2PtSe
Method: DFT, GGA-PBE
State: optimized geometry

a b c (Å): 4.477 4.477 4.477
angles (deg): 131.44 126.70 74.96
Sites, in units of the cell vectors:
Be 0.249 0.249 0.000
Be 0.751 0.751 0.000
Pt 0.500 0.000 0.500
Se 0.000 0.500 0.500

Values from the calculation:
Magnetization in μB/f.u.: 0.00
Calculated density in g/cm³: 9.2
Formation energy (no corrections) in meV/atom: 78

***

Material: Yb3Ge13Ru4
Method: DFT, GGA-PBE
State: optimized geometry

a b c (Å): 9.059 9.059 9.059
angles (deg): 90.00 90.00 90.00
Sites, in units of the cell vectors:
Yb 0.000 0.250 0.500
Yb 0.000 0.750 0.500
Yb 0.250 0.500 0.000
Yb 0.500 0.000 0.250
Yb 0.500 0.000 0.750
Yb 0.750 0.500 0.000
Ge 0.000 0.000 0.000
Ge 0.000 0.298 0.147
Ge 0.000 0.298 0.853
Ge 0.000 0.702 0.147
Ge 0.000 0.702 0.853
Ge 0.147 0.000 0.298
Ge 0.147 0.000 0.702
Ge 0.202 0.500 0.353
Ge 0.202 0.500 0.647
Ge 0.298 0.147 0.000
Ge 0.298 0.853 0.000
Ge 0.353 0.202 0.500
Ge 0.353 0.798 0.500
Ge 0.500 0.353 0.202
Ge 0.500 0.353 0.798
Ge 0.500 0.500 0.500
Ge 0.500 0.647 0.202
Ge 0.500 0.647 0.798
Ge 0.647 0.202 0.500
Ge 0.647 0.798 0.500
Ge 0.702 0.147 0.000
Ge 0.702 0.853 0.000
Ge 0.798 0.500 0.353
Ge 0.798 0.500 0.647
Ge 0.853 0.000 0.298
Ge 0.853 0.000 0.702
Ru 0.250 0.250 0.250
Ru 0.250 0.250 0.750
Ru 0.250 0.750 0.250
Ru 0.250 0.750 0.750
Ru 0.750 0.250 0.250
Ru 0.750 0.250 0.750
Ru 0.750 0.750 0.250
Ru 0.750 0.750 0.750

Values from the calculation:
Magnetization in μB/f.u.: 0.54
Calculated density in g/cm³: 8.3
Formation energy from the elements in meV per atom: -374

***

Material: Pm3Cu5S12
Method: DFT, GGA-PBE
State: optimized geometry

a b c (Å): 12.865 12.865 12.865
angles (deg): 109.47 109.47 109.47
Sites, in units of the cell vectors:
Pm 0.125 0.250 0.375
Pm 0.125 0.375 0.750
Pm 0.250 0.375 0.125
Pm 0.250 0.875 0.625
Pm 0.375 0.125 0.250
Pm 0.375 0.750 0.125
Pm 0.625 0.250 0.875
Pm 0.625 0.875 0.750
Pm 0.750 0.125 0.375
Pm 0.750 0.625 0.875
Pm 0.875 0.625 0.250
Pm 0.875 0.750 0.625
Cu 0.000 0.000 0.000
Cu 0.000 0.000 0.500
Cu 0.000 0.500 0.000
Cu 0.000 0.500 0.500
Cu 0.125 0.750 0.875
Cu 0.125 0.875 0.250
Cu 0.250 0.125 0.875
Cu 0.250 0.625 0.375
Cu 0.375 0.250 0.625
Cu 0.375 0.625 0.750
Cu 0.500 0.000 0.000
Cu 0.500 0.000 0.500
Cu 0.500 0.500 0.000
Cu 0.500 0.500 0.500
Cu 0.625 0.375 0.250
Cu 0.625 0.750 0.375
Cu 0.750 0.375 0.625
Cu 0.750 0.875 0.125
Cu 0.875 0.125 0.750
Cu 0.875 0.250 0.125
S 0.027 0.203 0.119
S 0.027 0.325 0.908
S 0.083 0.703 0.675
S 0.083 0.881 0.408
S 0.092 0.619 0.417
S 0.092 0.973 0.675
S 0.119 0.027 0.203
S 0.119 0.592 0.917
S 0.175 0.203 0.583
S 0.175 0.473 0.592
S 0.203 0.119 0.027
S 0.203 0.583 0.175
S 0.297 0.325 0.917
S 0.297 0.473 0.381
S 0.325 0.908 0.027
S 0.325 0.917 0.297
S 0.381 0.297 0.473
S 0.381 0.583 0.908
S 0.408 0.083 0.881
S 0.408 0.825 0.527
S 0.417 0.092 0.619
S 0.417 0.825 0.797
S 0.473 0.381 0.297
S 0.473 0.592 0.175
S 0.527 0.408 0.825
S 0.527 0.619 0.703
S 0.583 0.175 0.203
S 0.583 0.908 0.381
S 0.592 0.175 0.473
S 0.592 0.917 0.119
S 0.619 0.417 0.092
S 0.619 0.703 0.527
S 0.675 0.083 0.703
S 0.675 0.092 0.973
S 0.703 0.527 0.619
S 0.703 0.675 0.083
S 0.797 0.417 0.825
S 0.797 0.881 0.973
S 0.825 0.527 0.408
S 0.825 0.797 0.417
S 0.881 0.408 0.083
S 0.881 0.973 0.797
S 0.908 0.027 0.325
S 0.908 0.381 0.583
S 0.917 0.119 0.592
S 0.917 0.297 0.325
S 0.973 0.675 0.092
S 0.973 0.797 0.881

Values from the calculation:
Magnetization in μB/f.u.: 0.00
Calculated density in g/cm³: 4.6
Formation energy (no corrections) in meV/atom: -679

***

Material: Nb3ZnOs
Method: DFT, GGA-PBE
State: optimized geometry

a b c (Å): 4.616 4.616 4.616
angles (deg): 90.00 90.00 90.00
Sites, in units of the cell vectors:
Nb 0.000 0.000 0.500
Nb 0.000 0.500 0.000
Nb 0.500 0.000 0.000
Zn 0.000 0.000 0.000
Os 0.500 0.500 0.500

Values from the calculation:
Magnetization in μB/f.u.: 0.00
Energy above the lowest structure with this stoichiometry in meV per atom: 475.6
Calculated density in g/cm³: 9.0
Formation energy from the elements in meV per atom: 1523

***

Material: YSi2Sb
Method: DFT, GGA-PBE
State: optimized geometry

a b c (Å): 3.343 3.343 7.864
angles (deg): 90.00 90.00 97.78
Sites, in units of the cell vectors:
Y 0.000 0.000 0.000
Si 0.500 0.500 0.248
Si 0.500 0.500 0.752
Sb 0.000 0.000 0.500

Values from the calculation:
Magnetization in μB/f.u.: 0.00
Calculated density in g/cm³: 5.1
Formation energy (no corrections) in meV/atom: 140

***

Material: PmScHg
Method: DFT, GGA-PBE
State: optimized geometry

a b c (Å): 6.371 6.371 8.693
angles (deg): 120.73 120.73 32.46
Sites, in units of the cell vectors:
Pm 0.087 0.087 0.335
Pm 0.913 0.913 0.665
Sc 0.355 0.355 0.960
Sc 0.645 0.645 0.040
Hg 0.354 0.354 0.314
Hg 0.646 0.646 0.686

Values from the calculation:
Magnetization in μB/f.u.: 0.00
Energy above the lowest structure with this stoichiometry in meV per atom: 0.0
Calculated density in g/cm³: 8.1
Formation energy from the elements in meV per atom: -280

***

Material: ZrNiP2
Method: DFT, GGA-PBE
State: optimized geometry

a b c (Å): 4.227 4.227 3.299
angles (deg): 90.00 90.00 90.00
Sites, in units of the cell vectors:
Zr 0.000 0.000 0.000
Ni 0.500 0.500 0.000
P 0.000 0.500 0.500
P 0.500 0.000 0.500

Values from the calculation:
Magnetization in μB/f.u.: 0.00
Calculated density in g/cm³: 6.0
Formation energy from the elements in meV per atom: -550

***

Material: ErPaHg
Method: DFT, GGA-PBE
State: optimized geometry

a b c (Å): 8.954 8.954 5.262
angles (deg): 90.00 90.00 158.78
Sites, in units of the cell vectors:
Er 0.091 0.909 0.750
Er 0.909 0.091 0.250
Pa 0.232 0.768 0.250
Pa 0.768 0.232 0.750
Hg 0.435 0.565 0.750
Hg 0.565 0.435 0.250

Values from the calculation:
Magnetization in μB/f.u.: 0.00
Energy above the lowest structure with this stoichiometry in meV per atom: 0.0
Calculated density in g/cm³: 13.0
Formation energy from the elements in meV per atom: -152

***

Material: Tm2NpUP4
Method: DFT, GGA-PBE
State: optimized geometry

a b c (Å): 6.803 3.933 6.865
angles (deg): 90.00 109.33 90.00
Sites, in units of the cell vectors:
Tm 0.000 0.000 0.000
Tm 0.500 0.500 0.000
Np 0.000 0.500 0.500
U 0.500 0.000 0.500
P 0.251 0.000 0.749
P 0.252 0.500 0.251
P 0.748 0.500 0.749
P 0.749 0.000 0.251

Values from the calculation:
Magnetization in μB/f.u.: 5.89
Calculated density in g/cm³: 9.0
Formation energy from the elements in meV per atom: -1264

***

Material: Cr2MoRu
Method: DFT, GGA-PBE
State: optimized geometry

a b c (Å): 4.243 4.243 2.993
angles (deg): 90.00 90.00 90.00
Sites, in units of the cell vectors:
Cr 0.000 0.500 0.000
Cr 0.500 0.000 0.000
Mo 0.000 0.000 0.500
Ru 0.500 0.500 0.500

Values from the calculation:
Magnetization in μB/f.u.: 1.75
Calculated density in g/cm³: 9.3
Formation energy from the elements in meV per atom: 123

***

Material: TlNi3Pd
Method: DFT, GGA-PBE
State: optimized geometry

a b c (Å): 4.622 4.622 4.622
angles (deg): 90.00 90.00 90.00
Sites, in units of the cell vectors:
Tl 0.000 0.000 0.000
Ni 0.000 0.500 0.500
Ni 0.500 0.000 0.500
Ni 0.500 0.500 0.000
Pd 0.500 0.500 0.500

Values from the calculation:
Magnetization in μB/f.u.: 2.40
Energy above the lowest structure with this stoichiometry in meV per atom: 0.0
Calculated density in g/cm³: 8.2
Formation energy from the elements in meV per atom: 1015

***

Material: Tb2SiHg
Method: DFT, GGA-PBE
State: optimized geometry

a b c (Å): 7.397 7.397 7.397
angles (deg): 33.57 33.57 33.57
Sites, in units of the cell vectors:
Tb 0.236 0.236 0.236
Tb 0.764 0.764 0.764
Si 0.500 0.500 0.500
Hg 0.000 0.000 0.000

Values from the calculation:
Magnetization in μB/f.u.: 0.00
Calculated density in g/cm³: 8.2
Formation energy (no corrections) in meV/atom: -476

***

Material: In2Ru2Br
Method: DFT, GGA-PBE
State: optimized geometry

a b c (Å): 8.448 8.448 2.927
angles (deg): 90.00 90.00 90.00
Sites, in units of the cell vectors:
In 0.188 0.312 0.000
In 0.312 0.812 0.000
In 0.688 0.188 0.000
In 0.812 0.688 0.000
Ru 0.100 0.600 0.500
Ru 0.400 0.100 0.500
Ru 0.600 0.900 0.500
Ru 0.900 0.400 0.500
Br 0.000 0.000 0.000
Br 0.500 0.500 0.000

Values from the calculation:
Magnetization in μB/f.u.: 1.90
Energy above the lowest structure with this stoichiometry in meV per atom: 148.3
Calculated density in g/cm³: 8.1
Formation energy (no corrections) in meV/atom: 455

***

Material: CsBi3Pd
Method: DFT, GGA-PBE
State: optimized geometry

a b c (Å): 9.736 7.858 10.166
angles (deg): 90.00 110.81 90.00
Sites, in units of the cell vectors:
Cs 0.129 0.088 0.220
Cs 0.129 0.412 0.720
Cs 0.871 0.588 0.280
Cs 0.871 0.912 0.780
Bi 0.193 0.616 0.103
Bi 0.193 0.884 0.603
Bi 0.319 0.018 0.920
Bi 0.319 0.482 0.420
Bi 0.462 0.112 0.637
Bi 0.462 0.388 0.137
Bi 0.538 0.612 0.863
Bi 0.538 0.888 0.363
Bi 0.681 0.518 0.580
Bi 0.681 0.982 0.080
Bi 0.807 0.116 0.397
Bi 0.807 0.384 0.897
Pd 0.460 0.749 0.088
Pd 0.460 0.751 0.588
Pd 0.540 0.249 0.412
Pd 0.540 0.251 0.912

Values from the calculation:
Magnetization in μB/f.u.: 0.00
Energy above the lowest structure with this stoichiometry in meV per atom: 0.0
Calculated density in g/cm³: 7.9
Formation energy from the elements in meV per atom: -272

***

Material: YFeGe2Rh
Method: DFT, GGA-PBE
State: optimized geometry

a b c (Å): 5.815 5.815 5.815
angles (deg): 138.61 138.61 59.96
Sites, in units of the cell vectors:
Y 0.000 0.000 0.000
Fe 0.750 0.250 0.500
Ge 0.373 0.373 0.000
Ge 0.627 0.627 0.000
Rh 0.250 0.750 0.500

Values from the calculation:
Magnetization in μB/f.u.: 0.00
Calculated density in g/cm³: 7.7
Formation energy from the elements in meV per atom: -669